(1)
Below is crystalline Th4Pd at its relaxed geometry, with properties calculated at the PBE level.

Cell and atoms, written as extended XYZ:
```
5
Lattice="5.574 0.000 0.000 0.000 5.574 0.000 0.000 0.000 5.574" Properties=species:S:1:pos:R:3 pbc="T T T"
Th 2.787 0.000 2.787
Th 0.000 0.000 0.000
Th 0.000 2.787 2.787
Th 2.787 2.787 0.000
Pd 2.787 2.787 2.787
```

Computed properties:
Electronic total energy: -6.8036 eV/atom
Total magnetic moment: 0.0 μB/cell
Calculated formation energy: 171 meV per atom
Space group: Pm-3m (221)

=====

(2)
Below is crystalline ThPd3 at its relaxed geometry, with properties calculated at the PBE level.

Cell and atoms, written as extended XYZ:
```
4
Lattice="-1.605 1.563 3.559 -3.181 -2.741 -0.231 4.677 -2.254 0.615" Properties=species:S:1:pos:R:3 pbc="T T T"
Pd -2.393 -0.589 1.664
Pd -0.449 -2.792 1.024
Pd 0.339 -0.639 2.919
Th 0.000 0.000 0.000
```

Computed properties:
Electronic total energy: -6.6240 eV/atom
Total magnetic moment: 0.0 μB/cell
Calculated formation energy: -874 meV per atom
Space group: I4/mmm (139)